ZnSiOs3: relaxed, PBE-GGA.

Output
**E_form (uncorrected)**: 568.4 kJ/mol of formula units
**Energy above the lowest structure with this stoichiometry**: 0.0 meV/atom
**Space-group type**: Pm-3m (221)
**Volume**: 84.6 Å³/f.u.
**Total moment**: 1.558 Bohr magnetons per cell
**Crystal system**: cubic

The structure in POSCAR format:
```
ZnSiOs3
1.0
4.3905 0.0000 0.0000
0.0000 4.3905 0.0000
0.0000 0.0000 4.3905
Zn Os Si
1 3 1
Direct
0.5000 0.5000 0.5000 Zn
0.0000 0.0000 0.5000 Os
0.0000 0.5000 0.0000 Os
0.5000 0.0000 0.0000 Os
0.0000 0.0000 0.0000 Si
```

=====

ZnSiOs2: relaxed, PBE-GGA.

Output
**E_form (uncorrected)**: 34.1 kJ/mol of formula units
**Space-group type**: Pmm2 (25)
**Volume**: 55.1 Å³/f.u.
**Total moment**: 0.000 Bohr magnetons per cell
**Crystal system**: orthorhombic

The structure in POSCAR format:
```
ZnSiOs2
1.0
4.3847 0.0000 0.0000
0.0000 2.8677 -0.0044
0.0000 0.0069 4.3840
Si Os Zn
1 2 1
Direct
0.0000 0.3747 0.5419 Si
0.5000 0.3751 0.2205 Os
0.0000 0.8750 0.0285 Os
0.5000 0.8752 0.7091 Zn
```

=====

ZnSiOs2: relaxed, PBE-GGA.

Output
**E_form (uncorrected)**: 40.9 kJ/mol of formula units
**Space-group type**: R3m (160)
**Volume**: 57.0 Å³/f.u.
**Total moment**: 0.000 Bohr magnetons per cell
**Crystal system**: trigonal

The structure in POSCAR format:
```
ZnSiOs2
1.0
8.5560 -0.0007 -0.0004
8.0988 2.7593 -0.0004
8.0988 1.3414 2.4113
Os Zn Si
2 1 1
Direct
0.2468 0.2468 0.2468 Os
0.9982 0.9982 0.9982 Os
0.7511 0.7511 0.7511 Zn
0.5039 0.5039 0.5039 Si
```

=====

Zn3SiOs: relaxed, PBE-GGA.

Output
**E_form (uncorrected)**: 617.0 kJ/mol of formula units
**Energy above the lowest structure with this stoichiometry**: 309.8 meV/atom
**Space-group type**: Pm-3m (221)
**Volume**: 93.3 Å³/f.u.
**Total moment**: 2.119 Bohr magnetons per cell
**Crystal system**: cubic

The structure in POSCAR format:
```
Zn3SiOs
1.0
4.5362 0.0000 0.0000
0.0000 4.5362 0.0000
0.0000 0.0000 4.5362
Zn Si Os
3 1 1
Direct
0.0000 0.5000 0.0000 Zn
0.0000 0.0000 0.5000 Zn
0.5000 0.0000 0.0000 Zn
0.0000 0.0000 0.0000 Si
0.5000 0.5000 0.5000 Os
```

=====

Zn2SiOs: relaxed, PBE-GGA.

Output
**E_form (uncorrected)**: 205.6 kJ/mol of formula units
**Space-group type**: I-42d (122)
**Volume**: 63.5 Å³/f.u.
**Total moment**: 0.000 Bohr magnetons per cell
**Crystal system**: tetragonal

The structure in POSCAR format:
```
Zn2SiOs
1.0
7.2847 0.0000 0.0000
0.0000 7.2847 0.0000
3.6424 3.6424 2.3935
Zn Os Si
4 2 2
Direct
0.6335 0.1250 0.2500 Zn
0.3750 0.3665 0.7500 Zn
0.8750 0.8835 0.7500 Zn
0.1165 0.6250 0.2500 Zn
0.0000 0.0000 0.0000 Os
0.7500 0.2500 0.5000 Os
0.5000 0.5000 0.0000 Si
0.2500 0.7500 0.5000 Si
```

=====

Zn4SiOs: relaxed, PBE-GGA.

Output
**E_form (uncorrected)**: 165.1 kJ/mol of formula units
**Space-group type**: F-43m (216)
**Volume**: 84.0 Å³/f.u.
**Total moment**: 0.000 Bohr magnetons per cell
**Crystal system**: cubic

The structure in POSCAR format:
```
Zn4SiOs
1.0
0.0000 3.4765 3.4765
3.4765 0.0000 3.4765
3.4765 3.4765 0.0000
Zn Si Os
4 1 1
Direct
0.6246 0.1262 0.6246 Zn
0.6246 0.6246 0.6246 Zn
0.1262 0.6246 0.6246 Zn
0.6246 0.6246 0.1262 Zn
0.0000 0.0000 0.0000 Si
0.2500 0.2500 0.2500 Os
```

=====

ZnSi2Os: relaxed, PBE-GGA.

Output
**E_form (uncorrected)**: 53.3 kJ/mol of formula units
**Space-group type**: P2/m (10)
**Volume**: 55.3 Å³/f.u.
**Total moment**: 0.000 Bohr magnetons per cell
**Crystal system**: monoclinic

The structure in POSCAR format:
```
ZnSi2Os
1.0
3.5325 0.0000 0.0000
0.0000 2.9693 0.0710
0.0000 2.9841 5.3403
Si Os Zn
2 1 1
Direct
0.0000 0.0040 0.9926 Si
0.0000 0.4960 0.5074 Si
0.5000 0.7500 0.7500 Os
0.5000 0.2500 0.2500 Zn
```

=====

ZnSi2Os: relaxed, PBE-GGA.

Output
**E_form (uncorrected)**: 88.1 kJ/mol of formula units
**Space-group type**: I-4m2 (119)
**Volume**: 54.0 Å³/f.u.
**Total moment**: 0.000 Bohr magnetons per cell
**Crystal system**: tetragonal

The structure in POSCAR format:
```
ZnSi2Os
1.0
-1.0650 4.5227 0.4246
-4.6228 0.5897 0.2265
2.9448 -2.7805 2.3166
Si Os Zn
2 1 1
Direct
0.0000 0.0000 0.0000 Si
0.2500 0.7500 0.5000 Si
0.7500 0.2500 0.5000 Os
0.5000 0.5000 0.0000 Zn
```

=====

ZnSi2Os: relaxed, PBE-GGA.

Output
**E_form (uncorrected)**: 116.1 kJ/mol of formula units
**Space-group type**: Cmmm (65)
**Volume**: 59.8 Å³/f.u.
**Total moment**: 0.000 Bohr magnetons per cell
**Crystal system**: orthorhombic

The structure in POSCAR format:
```
ZnSi2Os
1.0
2.8687 0.0237 0.0000
-1.3505 2.5311 0.0000
0.0000 0.0000 8.1960
Si Zn Os
2 1 1
Direct
0.0000 0.0000 0.5138 Si
0.0000 0.0000 0.9862 Si
0.5000 0.5000 0.2500 Zn
0.5000 0.5000 0.7500 Os
```

=====

Zn2SiOs: relaxed, PBE-GGA.

Output
**E_form (uncorrected)**: 94.5 kJ/mol of formula units
**Space-group type**: Cmm2 (35)
**Volume**: 59.8 Å³/f.u.
**Total moment**: 0.000 Bohr magnetons per cell
**Crystal system**: orthorhombic

The structure in POSCAR format:
```
Zn2SiOs
1.0
2.8118 -0.0206 0.0000
-1.3244 2.4805 0.0000
0.0000 0.0000 8.6110
Si Zn Os
1 2 1
Direct
0.5000 0.5000 0.7362 Si
0.0000 0.0000 0.9922 Zn
0.5000 0.5000 0.2563 Zn
0.0000 0.0000 0.5153 Os
```

=====

ZnSi2Os: relaxed, PBE-GGA.

Output
**E_form (uncorrected)**: 41.5 kJ/mol of formula units
**Space-group type**: P4/mmm (123)
**Volume**: 60.1 Å³/f.u.
**Total moment**: 0.000 Bohr magnetons per cell
**Crystal system**: tetragonal

The structure in POSCAR format:
```
ZnSi2Os
1.0
-1.8705 2.1877 0.3754
-2.2120 -1.8780 -0.0767
0.4551 -0.8249 7.0742
Zn Si Os
1 2 1
Direct
0.5000 0.5000 0.2500 Zn
0.0000 0.0000 0.5379 Si
0.0000 0.0000 0.9621 Si
0.5000 0.5000 0.7500 Os
```

=====

Zn2SiOs: relaxed, PBE-GGA.

Output
**E_form (uncorrected)**: 23.8 kJ/mol of formula units
**Space-group type**: R3m (160)
**Volume**: 58.7 Å³/f.u.
**Total moment**: 0.000 Bohr magnetons per cell
**Crystal system**: trigonal

The structure in POSCAR format:
```
Zn2SiOs
1.0
8.3916 0.0147 0.0087
7.8955 2.8427 0.0087
7.8955 1.3852 2.4824
Zn Si Os
2 1 1
Direct
0.2479 0.2479 0.2479 Zn
0.0032 0.0032 0.0032 Zn
0.7551 0.7551 0.7551 Si
0.4937 0.4937 0.4937 Os
```

=====

Which formula does entry 11 have? ZnSi2Os